The following is a DFT calculation (PBE) of a relaxed Ho2InH crystal.

Computed properties:
**Total magnetization**: 0.00 Bohr magnetons per cell
**Uncorrected energy**: -16.56 eV per formula unit
**Crystal system**: trigonal
**Offset from the most stable computed form**: 0.121 eV per atom

abc: 3.5737 3.5737 23.2684
angles: 90.00 90.00 120.00
Closest atoms and distances in Å follow each position.
Space group R-3m (No. 166, hexagonal axes)
Inequivalent atoms, fractional coordinates:
Ho 0.0000 0.0000 0.2251  3 H 2.47
In 0.0000 0.0000 0.0000  6 Ho 3.25, 6 In 3.57
H 0.0000 0.0000 0.5000  6 Ho 2.47